# MnNiTe2 PBE relaxed
# - formation energy from raw total energies (eV per atom) = -0.114
# - total magnetization (μB per atom) = 0.723
# - V (Å³/cell) = 176
data_MnNiTe2
_chemical_formula_sum 'Mn2 Ni2 Te4'
_cell_length_a 6.750
_cell_length_b 3.918
_cell_length_c 7.032
_cell_angle_alpha 90.00
_cell_angle_beta 109.19
_cell_angle_gamma 90.00
_space_group_name_H-M_alt 'C 1 m 1'
_space_group_IT_number 8
_space_group_name_Hall 'C -2y'
loop_
_atom_site_label
_atom_site_type_symbol
_atom_site_fract_x
_atom_site_fract_y
_atom_site_fract_z
Mn1 Mn 0.000 0.000 0.000
Ni1 Ni 0.278 0.000 0.836
Te1 Te 0.058 0.500 0.675
Te2 Te 0.239 0.500 0.215

***

# Tb2PmPb PBE relaxed
# - energy of formation (kJ per mole of atoms) = -17.25
# - total magnetization (μB per atom) = 0.000
# - relative energy among the computed polymorphs (eV/atom) = 0.125
# - V (Å³/cell) = 503
data_Tb2PmPb
_chemical_formula_sum 'Tb8 Pm4 Pb4'
_cell_length_a 5.544
_cell_length_b 13.090
_cell_length_c 6.932
_cell_angle_alpha 90.00
_cell_angle_beta 90.00
_cell_angle_gamma 90.00
_space_group_name_H-M_alt 'C m c m'
_space_group_IT_number 63
_space_group_name_Hall '-C 2c 2'
loop_
_atom_site_label
_atom_site_type_symbol
_atom_site_fract_x
_atom_site_fract_y
_atom_site_fract_z
Tb1 Tb 0.000 0.130 0.018
Pm1 Pm 0.000 0.434 0.250
Pb1 Pb 0.000 0.324 0.750

***

# MnFeW4 PBE relaxed
# - energy of formation (kJ per mole of atoms) = 62.88
# - total magnetization (μB per atom) = 0.989
# - V (Å³/cell) = 403
data_MnFeW4
_chemical_formula_sum 'Mn4 Fe4 W16'
_cell_length_a 7.386
_cell_length_b 7.386
_cell_length_c 7.386
_cell_angle_alpha 90.00
_cell_angle_beta 90.00
_cell_angle_gamma 90.00
_space_group_name_H-M_alt 'F -4 3 m'
_space_group_IT_number 216
_space_group_name_Hall 'F -4 2 3'
loop_
_atom_site_label
_atom_site_type_symbol
_atom_site_fract_x
_atom_site_fract_y
_atom_site_fract_z
Mn1 Mn 0.000 0.000 0.000
Fe1 Fe 0.250 0.250 0.250
W1 W 0.125 0.125 0.625